Record 1
VASP calculation (PBE with a Hubbard U) on a relaxed structure of YHf2CrF.

Cell: 5.328 5.328 4.871 Å, 90.00 90.00 90.00°
Space group P4/mmm (No. 123)
One atom of each set of equivalent atoms:
Y (0.000, 0.000, 0.000)
Hf (0.000, 0.500, 0.000)
Cr (0.000, 0.000, 0.500)
F (0.500, 0.500, 0.500)

## Properties
* DOS(E_F): 7.32 states/eV per cell
* total moment: 1.1 μB per cell
* calculated total energy: -5.188 eV per atom



Record 2
VASP calculation (PBE with a Hubbard U) on a relaxed structure of VPbF2.

Cell: 6.466 6.466 6.466 Å, 90.00 90.00 90.00°
Space group Fm-3m (No. 225)
One atom of each set of equivalent atoms:
V (0.000, 0.000, 0.000)
Pb (0.000, 0.000, 0.500)
F (0.250, 0.250, 0.250)

## Properties
* DOS(E_F): 32.64 states/eV per cell
* total moment: 14.9 μB per cell
* E above lowest polymorph: 1138 meV/atom